(1)
# PBE Tl4SnCl6, optimized geometry
# magnetization	0.00	μB per cell
# DOS(E_F)	0.00	states/eV/f.u.
# uncorrected energy	-3.223	eV/atom
data_Tl4SnCl6
_cell_length_a 8.688
_cell_length_b 8.688
_cell_length_c 9.367
_cell_angle_alpha 90.00
_cell_angle_beta 90.00
_cell_angle_gamma 90.00
_symmetry_space_group_name_H-M 'P 4/m n c'
_symmetry_Int_Tables_number 128
_symmetry_space_group_name_Hall '-P 4 2n'
loop_
_atom_site_label
_atom_site_fract_x
_atom_site_fract_y
_atom_site_fract_z
_atom_site_occupancy
Tl1 0.165 0.335 0.250 1
Sn1 0.000 0.000 0.000 1
Cl1 0.000 0.000 0.299 1
Cl2 0.125 0.693 0.000 1

(2)
# PBE Tl2SnCl, optimized geometry
# magnetization	0.00	μB per cell
# DOS(E_F)	2.51	states/eV/f.u.
# uncorrected energy	-2.841	eV/atom
data_Tl2SnCl
_cell_length_a 3.5121
_cell_length_b 3.5121
_cell_length_c 34.3672
_cell_angle_alpha 90.00
_cell_angle_beta 90.00
_cell_angle_gamma 120.00
_symmetry_space_group_name_H-M 'R -3 m'
_symmetry_Int_Tables_number 166
_symmetry_space_group_name_Hall '-R 3 2"'
loop_
_atom_site_label
_atom_site_fract_x
_atom_site_fract_y
_atom_site_fract_z
_atom_site_occupancy
Tl1 0.0000 0.0000 0.0991 1
Sn1 0.0000 0.0000 0.0000 1
Cl1 0.0000 0.0000 0.5000 1

(3)
# PBE Tl3SnCl4, optimized geometry
# magnetization	0.00	μB per cell
# DOS(E_F)	1.64	states/eV/f.u.
# uncorrected energy	-3.106	eV/atom
data_Tl3SnCl4
_cell_length_a 12.401
_cell_length_b 6.464
_cell_length_c 6.657
_cell_angle_alpha 90.00
_cell_angle_beta 90.00
_cell_angle_gamma 90.00
_symmetry_space_group_name_H-M 'P m n 21'
_symmetry_Int_Tables_number 31
loop_
_symmetry_equiv_pos_as_xyz
'x,y,z'
'-x+1/2,-y,z+1/2'
'-x,y,z'
'x+1/2,-y,z+1/2'
loop_
_atom_site_label
_atom_site_fract_x
_atom_site_fract_y
_atom_site_fract_z
_atom_site_occupancy
Tl1 0.000 0.166 0.000 1
Tl2 0.241 0.733 0.978 1
Sn1 0.000 0.761 0.421 1
Cl1 0.000 0.156 0.519 1
Cl2 0.000 0.707 0.846 1
Cl3 0.234 0.772 0.470 1